1.
# KY2MgCl | Alexandria | GGA-PBE | optimized geometry
# Crystal system: tetragonal
data_KY2MgCl
_space_group_name_H-M_alt 'P 1'
_space_group_IT_number 1
_cell_length_a 5.9937
_cell_length_b 5.9937
_cell_length_c 5.5876
_cell_angle_alpha 90.00
_cell_angle_beta 90.00
_cell_angle_gamma 90.00
loop_
_space_group_symop_operation_xyz
'x,y,z'
loop_
_atom_site_label
_atom_site_type_symbol
_atom_site_fract_x
_atom_site_fract_y
_atom_site_fract_z
K1 K 0.0000 0.0000 0.0000
Y1 Y 0.0000 0.5000 0.5000
Y2 Y 0.5000 0.0000 0.5000
Mg1 Mg 0.5000 0.5000 0.5000
Cl1 Cl 0.5000 0.5000 0.0000

=====

2.
# KMn2Cl5 | Alexandria | GGA-PBE | optimized geometry
# Crystal system: orthorhombic
data_KMn2Cl5
_space_group_name_H-M_alt 'P 1'
_space_group_IT_number 1
_cell_length_a 8.2837
_cell_length_b 8.2837
_cell_length_c 13.5944
_cell_angle_alpha 90.00
_cell_angle_beta 90.00
_cell_angle_gamma 143.89
loop_
_space_group_symop_operation_xyz
'x,y,z'
loop_
_atom_site_label
_atom_site_type_symbol
_atom_site_fract_x
_atom_site_fract_y
_atom_site_fract_z
K1 K 0.0807 0.9193 0.7500
K2 K 0.9193 0.0807 0.2500
Mn1 Mn 0.2104 0.7896 0.0964
Mn2 Mn 0.2104 0.7896 0.4036
Mn3 Mn 0.7896 0.2104 0.5964
Mn4 Mn 0.7896 0.2104 0.9036
Cl1 Cl 0.0679 0.9321 0.1075
Cl2 Cl 0.0679 0.9321 0.3925
Cl3 Cl 0.2511 0.7489 0.5797
Cl4 Cl 0.2511 0.7489 0.9203
Cl5 Cl 0.2962 0.7038 0.2500
Cl6 Cl 0.7038 0.2962 0.7500
Cl7 Cl 0.7489 0.2511 0.0797
Cl8 Cl 0.7489 0.2511 0.4203
Cl9 Cl 0.9321 0.0679 0.6075
Cl10 Cl 0.9321 0.0679 0.8925

=====

3.
# K2MnCl | Alexandria | GGA-PBE | optimized geometry
# Energy relative to the lowest polymorph listed for this composition: 40.4 meV/atom
# Crystal system: monoclinic
data_K2MnCl
_space_group_name_H-M_alt 'P 1'
_space_group_IT_number 1
_cell_length_a 19.9450
_cell_length_b 3.8144
_cell_length_c 3.9633
_cell_angle_alpha 90.00
_cell_angle_beta 101.27
_cell_angle_gamma 90.00
loop_
_space_group_symop_operation_xyz
'x,y,z'
loop_
_atom_site_label
_atom_site_type_symbol
_atom_site_fract_x
_atom_site_fract_y
_atom_site_fract_z
K1 K 0.0000 0.0000 0.0000
K2 K 0.2032 0.0000 0.7089
K3 K 0.5000 0.5000 0.0000
K4 K 0.7032 0.5000 0.7089
Mn1 Mn 0.3353 0.5000 0.3405
Mn2 Mn 0.8353 0.0000 0.3405
Cl1 Cl 0.0755 0.5000 0.5741
Cl2 Cl 0.5755 0.0000 0.5741

=====

4.
# K2MnCl | Alexandria | GGA-PBE | optimized geometry
# Energy relative to the lowest polymorph listed for this composition: 158.0 meV/atom
# Crystal system: tetragonal
data_K2MnCl
_space_group_name_H-M_alt 'P 1'
_space_group_IT_number 1
_cell_length_a 8.8106
_cell_length_b 8.8106
_cell_length_c 8.8374
_cell_angle_alpha 90.00
_cell_angle_beta 90.00
_cell_angle_gamma 90.00
loop_
_space_group_symop_operation_xyz
'x,y,z'
loop_
_atom_site_label
_atom_site_type_symbol
_atom_site_fract_x
_atom_site_fract_y
_atom_site_fract_z
K1 K 0.1967 0.2500 0.1250
K2 K 0.2500 0.6967 0.3750
K3 K 0.2500 0.8033 0.8750
K4 K 0.3033 0.2500 0.6250
K5 K 0.6967 0.7500 0.6250
K6 K 0.7500 0.1967 0.8750
K7 K 0.7500 0.3033 0.3750
K8 K 0.8033 0.7500 0.1250
Mn1 Mn 0.0000 0.0000 0.5000
Mn2 Mn 0.0000 0.5000 0.7500
Mn3 Mn 0.5000 0.0000 0.2500
Mn4 Mn 0.5000 0.5000 0.0000
Cl1 Cl 0.0000 0.0000 0.0000
Cl2 Cl 0.0000 0.5000 0.2500
Cl3 Cl 0.5000 0.0000 0.7500
Cl4 Cl 0.5000 0.5000 0.5000

=====

Calculated volume, 40.15; 34.36; 36.96; 42.88 Å³ per atom (same order as the records).
Calculated formation energy from raw total energies, 388; -1242; -268; -150 meV per atom (same order as the records).